No. 1
A plane-wave DFT calculation with PBE-GGA was carried out for a relaxed structure of NdSmY3Ho.

Cell: 5.079 8.034 10.159 Å, 90.00 90.00 108.43°
Atoms (fractional coordinates):
1 Sm 0.501 0.002 0.250
2 Nd 0.000 0.000 0.000
3 Sm 0.499 0.998 0.750
4 Y 0.333 0.665 0.000
5 Y 0.333 0.665 0.500
6 Y 0.832 0.665 0.250
7 Ho 0.167 0.334 0.250
8 Y 0.667 0.335 0.500
9 Nd 0.000 0.000 0.500
10 Y 0.667 0.335 0.000
11 Ho 0.833 0.666 0.750
12 Y 0.168 0.335 0.750

Values from the calculation:
Total energy   -66.67 eV/cell
Space group   Cmcm, No. 63

No. 2
A plane-wave DFT calculation with PBE-GGA was carried out for a relaxed structure of SiIr2Pd2.

Cell: 6.080 6.080 4.259 Å, 90.00 90.00 90.00°
Atoms (fractional coordinates):
1 Ir 0.356 0.856 0.000
2 Pd 0.168 0.668 0.500
3 Pd 0.832 0.332 0.500
4 Ir 0.144 0.356 0.000
5 Pd 0.668 0.832 0.500
6 Ir 0.644 0.144 0.000
7 Si 0.000 0.000 0.000
8 Pd 0.332 0.168 0.500
9 Si 0.500 0.500 0.000
10 Ir 0.856 0.644 0.000

Values from the calculation:
Total energy   -67.83 eV/cell
Offset from the most stable computed form   0.0000 eV/atom
Space group   P4/mbm, No. 127
Energy relative to the elements, uncorrected   -77 meV per atom

No. 3
A plane-wave DFT calculation with PBE-GGA was carried out for a relaxed structure of Mg2RuO.

Cell: 5.904 5.904 5.595 Å, 58.16 58.16 90.00°
Each line ends with the local moment (μB).
Atoms (fractional coordinates):
1 Ru 0.000 0.000 0.000  1.63
2 Mg 0.375 0.480 0.750  -0.01
3 O 0.250 0.750 0.500  0.03
4 Mg 0.520 0.125 0.250  -0.01
5 Mg 0.875 0.770 0.750  -0.01
6 O 0.500 0.500 0.000  0.03
7 Mg 0.230 0.625 0.250  -0.01
8 Ru 0.750 0.250 0.500  1.63

Values from the calculation:
Total energy   -39.44 eV/cell
Space group   I-42d, No. 122
Energy relative to the elements, uncorrected   -575 meV per atom

No. 4
A plane-wave DFT calculation with PBE-GGA was carried out for a relaxed structure of CaSe.

Cell: 7.621 7.621 7.621 Å, 149.06 149.12 44.27°
Atoms (fractional coordinates):
1 Se 0.875 0.125 0.250
2 Ca 0.376 0.626 0.250
3 Ca 0.624 0.374 0.750
4 Se 0.125 0.875 0.750

Values from the calculation:
Total energy   -17.53 eV/cell
Space group   Imma, No. 74
Energy relative to the elements, uncorrected   -1640 meV per atom

No. 5
A plane-wave DFT calculation with PBE-GGA was carried out for a relaxed structure of AgHg2Au.

Cell: 3.092 3.092 8.476 Å, 90.00 90.00 89.94°
Atoms (fractional coordinates):
1 Hg 0.000 0.000 0.498
2 Ag 0.500 0.500 0.250
3 Hg 0.000 0.000 0.002
4 Au 0.500 0.500 0.750

Values from the calculation:
Total energy   -6.36 eV/cell
Space group   P4/mmm, No. 123

No. 6
A plane-wave DFT calculation with PBE-GGA was carried out for a relaxed structure of Sc2TlTc2.

Cell: 4.364 4.364 6.447 Å, 70.22 70.22 90.00°
Each line ends with the local moment (μB).
Atoms (fractional coordinates):
1 Tc 0.399 0.399 0.203  0.87
2 Tl 0.000 0.000 0.000  -0.01
3 Sc 0.750 0.250 0.500  0.25
4 Sc 0.250 0.750 0.500  0.25
5 Tc 0.601 0.601 0.797  0.87

Values from the calculation:
Total energy   -32.83 eV/cell
Offset from the most stable computed form   0.6022 eV/atom
Space group   I4/mmm, No. 139

No. 7
A plane-wave DFT calculation with PBE-GGA was carried out for a relaxed structure of Th6AuC3Se2.

Cell: 3.849 8.414 9.245 Å, 109.38 102.02 90.00°
Atoms (fractional coordinates):
1 Th 0.657 0.608 0.315
2 Se 0.165 0.329 0.330
3 Th 0.322 0.947 0.643
4 Se 0.835 0.671 0.670
5 C 0.168 0.831 0.335
6 C 0.500 0.500 0.000
7 Au 0.500 0.000 0.000
8 Th 0.343 0.392 0.685
9 Th 0.678 0.053 0.357
10 Th 0.013 0.719 0.026
11 C 0.832 0.169 0.665
12 Th 0.987 0.281 0.974

Values from the calculation:
Total energy   -92.69 eV/cell
Space group   C2/m, No. 12
Energy relative to the elements, uncorrected   -854 meV per atom

No. 8
A plane-wave DFT calculation with PBE-GGA was carried out for a relaxed structure of Sc2In2Pd3.

Cell: 4.693 4.701 7.700 Å, 89.96 107.92 120.12°
Atoms (fractional coordinates):
1 Sc 0.233 0.616 0.851
2 In 0.259 0.130 0.386
3 Pd 0.491 0.746 0.232
4 Sc 0.767 0.384 0.149
5 Pd 0.509 0.254 0.768
6 In 0.741 0.870 0.614
7 Pd 0.000 0.000 0.000

Values from the calculation:
Total energy   -38.87 eV/cell
Space group   C2/m, No. 12

No. 9
A plane-wave DFT calculation with PBE-GGA was carried out for a relaxed structure of Ca3Ta.

Cell: 6.295 6.295 3.292 Å, 90.00 90.00 112.89°
Each line ends with the local moment (μB).
Atoms (fractional coordinates):
1 Ca 0.500 0.500 0.000  -0.02
2 Ta 0.000 0.000 0.000  0.60
3 Ca 0.500 0.000 0.500  0.01
4 Ca 0.000 0.500 0.500  0.01

Values from the calculation:
Total energy   -14.92 eV/cell
Offset from the most stable computed form   0.1781 eV/atom
Space group   Cmmm, No. 65

No. 10
A plane-wave DFT calculation with PBE-GGA was carried out for a relaxed structure of Na3NbTc.

Cell: 5.793 5.793 5.793 Å, 90.00 90.00 90.00°
Each line ends with the local moment (μB).
Atoms (fractional coordinates):
1 Na 0.500 0.000 0.000  0.04
2 Tc 0.500 0.500 0.500  3.64
3 Na 0.000 0.000 0.500  0.02
4 Nb 0.000 0.000 0.000  3.29
5 Na 0.000 0.500 0.000  0.03

Values from the calculation:
Total energy   -13.47 eV/cell
Offset from the most stable computed form   0.0000 eV/atom
Space group   Pm-3m, No. 221

No. 11
A plane-wave DFT calculation with PBE-GGA was carried out for a relaxed structure of PuZrCr.

Cell: 5.348 5.348 13.524 Å, 78.60 78.60 60.00°
Each line ends with the local moment (μB).
Atoms (fractional coordinates):
1 Zr 0.963 0.963 0.110  0.06
2 Pu 0.216 0.729 0.325  -3.48
3 Zr 0.037 0.037 0.890  0.06
4 Cr 0.621 0.621 0.138  0.72
5 Cr 0.500 0.500 0.500  1.85
6 Zr 0.727 0.727 0.819  0.11
7 Cr 0.500 0.500 0.000  -0.29
8 Cr 0.500 0.000 0.000  -0.29
9 Pu 0.729 0.729 0.325  -3.48
10 Pu 0.271 0.271 0.675  -3.48
11 Pu 0.271 0.784 0.675  -3.48
12 Zr 0.273 0.273 0.181  0.11
13 Zr 0.819 0.819 0.542  0.16
14 Cr 0.000 0.500 0.000  -0.29
15 Pu 0.784 0.271 0.675  -3.48
16 Pu 0.729 0.216 0.325  -3.48
17 Zr 0.181 0.181 0.458  0.16
18 Cr 0.379 0.379 0.862  0.72

Values from the calculation:
Total energy   -190.81 eV/cell
Space group   R-3m, No. 166

No. 12
A plane-wave DFT calculation with PBE-GGA was carried out for a relaxed structure of KFe2Hg.

Cell: 2.914 5.222 5.321 Å, 90.00 90.00 90.00°
Each line ends with the local moment (μB).
Atoms (fractional coordinates):
1 Fe 0.500 0.500 0.000  2.89
2 Hg 0.500 0.000 0.500  -0.06
3 Fe 0.000 0.000 0.000  2.90
4 K 0.000 0.500 0.500  -0.04

Values from the calculation:
Total energy   -14.33 eV/cell
Space group   Pmmm, No. 47

No. 13
A plane-wave DFT calculation with PBE-GGA was carried out for a relaxed structure of LaNi5P4.

Cell: 3.834 6.685 11.279 Å, 90.00 90.00 90.00°
Atoms (fractional coordinates):
1 P 0.242 0.500 0.239
2 Ni 0.248 0.188 0.688
3 P 0.560 0.678 0.000
4 P 0.560 0.322 0.000
5 P 0.440 0.178 0.500
6 Ni 0.947 0.000 0.500
7 La 0.917 0.500 0.500
8 P 0.440 0.822 0.500
9 Ni 0.752 0.312 0.188
10 Ni 0.053 0.500 0.000
11 Ni 0.752 0.688 0.812
12 Ni 0.248 0.188 0.312
13 P 0.758 0.000 0.739
14 Ni 0.248 0.812 0.312
15 P 0.758 0.000 0.261
16 La 0.083 0.000 0.000
17 Ni 0.248 0.812 0.688
18 Ni 0.752 0.688 0.188
19 Ni 0.752 0.312 0.812
20 P 0.242 0.500 0.761

Values from the calculation:
Total energy   -123.82 eV/cell
Space group   Pmmn, No. 59

No. 14
A plane-wave DFT calculation with PBE-GGA was carried out for a relaxed structure of DyY4Cd3.

Cell: 5.356 5.356 9.492 Å, 73.61 73.61 60.00°
Each line ends with the local moment (μB).
Atoms (fractional coordinates):
1 Dy 0.000 0.000 0.000  0.18
2 Y 0.385 0.385 0.844  0.06
3 Cd 0.500 0.500 0.500  0.00
4 Cd 0.741 0.741 0.778  0.00
5 Y 0.130 0.130 0.610  0.03
6 Y 0.870 0.870 0.390  0.03
7 Cd 0.259 0.259 0.222  0.00
8 Y 0.615 0.615 0.156  0.06

Values from the calculation:
Total energy   -34.74 eV/cell
Space group   R-3m, No. 166

No. 15
A plane-wave DFT calculation with PBE-GGA was carried out for a relaxed structure of CuRh2Br.

Cell: 2.910 4.816 4.445 Å, 90.00 90.00 90.00°
Atoms (fractional coordinates):
1 Rh 0.500 0.500 0.000
2 Cu 0.000 0.500 0.500
3 Rh 0.000 0.000 0.000
4 Br 0.500 0.000 0.500

Values from the calculation:
Total energy   -18.15 eV/cell
Offset from the most stable computed form   0.2536 eV/atom
Space group   Pmmm, No. 47
Energy relative to the elements, uncorrected   579 meV per atom

No. 16
A plane-wave DFT calculation with PBE-GGA was carried out for a relaxed structure of Hg2SbSe.

Cell: 3.049 6.463 5.706 Å, 90.00 90.00 90.00°
Atoms (fractional coordinates):
1 Se 0.500 0.500 0.750
2 Hg 0.000 0.000 0.998
3 Hg 0.000 0.000 0.502
4 Sb 0.500 0.500 0.250

Values from the calculation:
Total energy   -7.68 eV/cell
Space group   Pmmm, No. 47
Energy relative to the elements, uncorrected   132 meV per atom

No. 17
A plane-wave DFT calculation with PBE-GGA was carried out for a relaxed structure of Ho3TeC2.

Cell: 6.596 6.607 6.607 Å, 120.01 90.00 90.00°
Atoms (fractional coordinates):
1 Te 0.250 0.500 0.500
2 Ho 0.250 0.019 0.500
3 Te 0.750 0.500 0.500
4 C 0.000 0.833 0.167
5 Ho 0.250 0.500 0.019
6 Ho 0.750 0.019 0.019
7 Ho 0.750 0.981 0.500
8 Ho 0.250 0.981 0.981
9 C 0.500 0.833 0.167
10 C 0.000 0.167 0.833
11 C 0.500 0.167 0.833
12 Ho 0.750 0.500 0.981

Values from the calculation:
Total energy   -75.01 eV/cell
Space group   P6_3/mcm, No. 193
Energy relative to the elements, uncorrected   -363 meV per atom

No. 18
A plane-wave DFT calculation with PBE-GGA was carried out for a relaxed structure of PIr2.

Cell: 5.439 5.439 5.439 Å, 149.47 149.47 43.73°
Atoms (fractional coordinates):
1 P 0.500 0.500 0.000
2 Ir 0.142 0.142 0.000
3 Ir 0.858 0.858 0.000

Values from the calculation:
Total energy   -23.06 eV/cell
Space group   I4/mmm, No. 139

No. 19
A plane-wave DFT calculation with PBE-GGA was carried out for a relaxed structure of Ba2YZn.

Cell: 9.702 9.702 7.672 Å, 50.78 50.78 90.00°
Atoms (fractional coordinates):
1 Ba 0.875 0.819 0.750
2 Ba 0.181 0.625 0.250
3 Ba 0.569 0.125 0.250
4 Y 0.000 0.000 0.000
5 Zn 0.500 0.500 0.000
6 Zn 0.250 0.750 0.500
7 Y 0.750 0.250 0.500
8 Ba 0.375 0.431 0.750

Values from the calculation:
Total energy   -20.93 eV/cell
Space group   I-42d, No. 122

No. 20
A plane-wave DFT calculation with PBE-GGA was carried out for a relaxed structure of Hf8GeTe2.

Cell: 5.396 7.542 7.542 Å, 117.01 103.45 103.45°
Atoms (fractional coordinates):
1 Hf 0.500 0.780 0.220
2 Te 0.000 0.303 0.697
3 Te 0.000 0.697 0.303
4 Hf 0.895 0.680 0.903
5 Hf 0.675 0.391 0.391
6 Hf 0.105 0.320 0.097
7 Ge 0.500 0.000 0.000
8 Hf 0.500 0.220 0.780
9 Hf 0.895 0.903 0.680
10 Hf 0.105 0.097 0.320
11 Hf 0.325 0.609 0.609

Values from the calculation:
Total energy   -91.46 eV/cell
Space group   C2/m, No. 12
Energy relative to the elements, uncorrected   -85 meV per atom